The following is a DFT calculation (GGA-PBEsol) of TaMn2Fe after structural relaxation.

Properties
**Formation enthalpy at 0 K**: 0.01 eV/atom
**Symmetry**: No. 216
**E_tot**: -10.25 eV per atom

Lattice parameters (Å, degrees): 4.118 4.118 4.118 60.00 60.00 60.00
Sites, in units of the cell vectors:
Ta: 0.000 0.000 0.000
Mn: 0.250 0.250 0.250
Mn: 0.500 0.500 0.500
Fe: 0.750 0.750 0.750